# 1
# GaNiSe3 GGA-PBEsol relaxed
# - theoretical density (g/cm3) = 5.93
# - formation energy without anion corrections (eV/atom) = 0.22
data_GaNiSe3
_chemical_formula_sum 'Ga1 Ni1 Se3'
_cell_length_a 4.678
_cell_length_b 4.678
_cell_length_c 4.678
_cell_angle_alpha 90.00
_cell_angle_beta 90.00
_cell_angle_gamma 90.00
_space_group_name_H-M_alt 'P 1'
_space_group_IT_number 1
loop_
_space_group_symop_operation_xyz
'x,y,z'
loop_
_atom_site_label
_atom_site_type_symbol
_atom_site_fract_x
_atom_site_fract_y
_atom_site_fract_z
Se1 Se 0.500 0.000 0.000
Se2 Se 0.000 0.500 0.000
Ga1 Ga 0.500 0.500 0.500
Se3 Se 0.000 0.000 0.500
Ni1 Ni 0.000 0.000 0.000

***

# 2
# RbTaSb2 GGA-PBEsol relaxed
# - theoretical density (g/cm3) = 4.79
# - energy above the lowest structure with this stoichiometry (eV per formula unit) = 0.00
# - formation energy without anion corrections (eV/atom) = 0.27
data_RbTaSb2
_chemical_formula_sum 'Rb2 Ta2 Sb4'
_cell_length_a 7.653
_cell_length_b 8.105
_cell_length_c 7.653
_cell_angle_alpha 118.17
_cell_angle_beta 90.00
_cell_angle_gamma 118.17
_space_group_name_H-M_alt 'P 1'
_space_group_IT_number 1
loop_
_space_group_symop_operation_xyz
'x,y,z'
loop_
_atom_site_label
_atom_site_type_symbol
_atom_site_fract_x
_atom_site_fract_y
_atom_site_fract_z
Ta1 Ta 0.000 0.000 0.000
Rb1 Rb 0.750 0.500 0.250
Ta2 Ta 0.250 0.500 0.750
Sb1 Sb 0.125 0.750 0.751
Sb2 Sb 0.249 0.250 0.375
Sb3 Sb 0.001 0.250 0.875
Rb2 Rb 0.500 0.000 0.500
Sb4 Sb 0.625 0.750 0.999

***

# 3
# OsRhF2 GGA-PBEsol relaxed
# - theoretical density (g/cm3) = 11.53
# - formation energy without anion corrections (eV/atom) = -0.10
data_OsRhF2
_chemical_formula_sum 'Os1 Rh1 F2'
_cell_length_a 2.617
_cell_length_b 2.617
_cell_length_c 8.179
_cell_angle_alpha 80.80
_cell_angle_beta 80.80
_cell_angle_gamma 60.00
_space_group_name_H-M_alt 'P 1'
_space_group_IT_number 1
loop_
_space_group_symop_operation_xyz
'x,y,z'
loop_
_atom_site_label
_atom_site_type_symbol
_atom_site_fract_x
_atom_site_fract_y
_atom_site_fract_z
F1 F 0.918 0.918 0.246
Rh1 Rh 0.000 0.000 0.000
Os1 Os 0.500 0.500 0.500
F2 F 0.082 0.082 0.754

***

# 4
# ScPF2 GGA-PBEsol relaxed
# - theoretical density (g/cm3) = 3.74
# - formation energy without anion corrections (eV/atom) = -1.43
data_ScPF2
_chemical_formula_sum 'Sc1 P1 F2'
_cell_length_a 4.152
_cell_length_b 4.152
_cell_length_c 4.152
_cell_angle_alpha 60.00
_cell_angle_beta 60.00
_cell_angle_gamma 60.00
_space_group_name_H-M_alt 'P 1'
_space_group_IT_number 1
loop_
_space_group_symop_operation_xyz
'x,y,z'
loop_
_atom_site_label
_atom_site_type_symbol
_atom_site_fract_x
_atom_site_fract_y
_atom_site_fract_z
F1 F 0.750 0.750 0.750
P1 P 0.000 0.000 0.000
F2 F 0.250 0.250 0.250
Sc1 Sc 0.500 0.500 0.500

***

# 5
# RbGe2Pd2 GGA-PBEsol relaxed
# - theoretical density (g/cm3) = 6.40
# - energy relative to the elements (eV per atom) = -0.343
data_RbGe2Pd2
_chemical_formula_sum 'Rb1 Ge2 Pd2'
_cell_length_a 4.128
_cell_length_b 4.128
_cell_length_c 7.363
_cell_angle_alpha 106.28
_cell_angle_beta 106.28
_cell_angle_gamma 90.00
_space_group_name_H-M_alt 'P 1'
_space_group_IT_number 1
loop_
_space_group_symop_operation_xyz
'x,y,z'
loop_
_atom_site_label
_atom_site_type_symbol
_atom_site_fract_x
_atom_site_fract_y
_atom_site_fract_z
Pd1 Pd 0.750 0.250 0.500
Ge1 Ge 0.650 0.650 0.299
Ge2 Ge 0.350 0.350 0.701
Rb1 Rb 0.000 0.000 0.000
Pd2 Pd 0.250 0.750 0.500

***

# 6
# TaAlRu2 GGA-PBEsol relaxed
# - theoretical density (g/cm3) = 11.87
# - energy relative to the elements (eV per atom) = -0.647
data_TaAlRu2
_chemical_formula_sum 'Ta1 Al1 Ru2'
_cell_length_a 3.082
_cell_length_b 3.082
_cell_length_c 6.041
_cell_angle_alpha 90.00
_cell_angle_beta 90.00
_cell_angle_gamma 90.00
_space_group_name_H-M_alt 'P 1'
_space_group_IT_number 1
loop_
_space_group_symop_operation_xyz
'x,y,z'
loop_
_atom_site_label
_atom_site_type_symbol
_atom_site_fract_x
_atom_site_fract_y
_atom_site_fract_z
Ru1 Ru 0.000 0.000 0.745
Al1 Al 0.500 0.500 0.500
Ta1 Ta 0.500 0.500 0.000
Ru2 Ru 0.000 0.000 0.255

***

Number 1: size of the total moment 0.00 μB/cell, E_tot -3.9944 eV per atom. Number 2: size of the total moment 0.00 μB/cell, E_tot -5.4069 eV per atom. Number 3: size of the total moment 0.00 μB/cell, E_tot -6.1561 eV per atom. Number 4: size of the total moment 0.00 μB/cell, E_tot -5.4879 eV per atom. Number 5: size of the total moment 0.00 μB/cell, E_tot -4.9070 eV per atom. Number 6: size of the total moment 0.00 μB/cell, E_tot -9.8940 eV per atom.